1.
The following is a DFT calculation (GGA-PBE) of a relaxed IrSe crystal.

Cell and atoms, written as POSCAR:
```
IrSe
1.0
9.267 0.000 0.000
-4.634 8.026 0.000
0.000 0.000 4.018
Ir Se
6 6
Direct
0.038 0.611 0.250
0.389 0.426 0.250
0.426 0.038 0.750
0.574 0.962 0.250
0.611 0.574 0.750
0.962 0.389 0.750
0.116 0.392 0.250
0.277 0.884 0.250
0.392 0.277 0.750
0.608 0.723 0.250
0.723 0.116 0.750
0.884 0.608 0.750
```


2.
The following is a DFT calculation (GGA-PBE) of a relaxed IrSe crystal.

Cell and atoms, written as POSCAR:
```
IrSe
1.0
5.153 0.000 0.000
0.000 5.153 0.000
0.000 0.000 5.153
Ir Se
4 4
Direct
0.074 0.426 0.574
0.426 0.574 0.074
0.574 0.074 0.426
0.926 0.926 0.926
0.047 0.953 0.453
0.453 0.047 0.953
0.547 0.547 0.547
0.953 0.453 0.047
```


3.
The following is a DFT calculation (GGA-PBE) of a relaxed IrSe crystal.

Cell and atoms, written as POSCAR:
```
IrSe
1.0
3.767 0.000 0.000
-1.884 3.262 0.000
0.000 0.000 6.950
Ir Se
2 2
Direct
0.333 0.667 0.000
0.667 0.333 0.500
0.333 0.667 0.645
0.667 0.333 0.145
```


4.
The following is a DFT calculation (GGA-PBE) of a relaxed Ir3Se5 crystal.

Cell and atoms, written as POSCAR:
```
Ir3Se5
1.0
3.248 -7.034 0.000
3.248 7.034 0.000
-3.228 0.000 7.029
Ir Se
6 10
Direct
0.133 0.867 0.000
0.250 0.750 0.500
0.368 0.368 0.735
0.632 0.632 0.265
0.750 0.250 0.500
0.867 0.133 0.000
0.054 0.299 0.352
0.202 0.554 0.756
0.249 0.249 0.000
0.299 0.054 0.352
0.446 0.798 0.244
0.554 0.202 0.756
0.701 0.946 0.648
0.751 0.751 0.000
0.798 0.446 0.244
0.946 0.701 0.648
```


5.
The following is a DFT calculation (GGA-PBE) of a relaxed IrSe crystal.

Cell and atoms, written as POSCAR:
```
IrSe
1.0
4.151 0.000 0.000
0.000 3.619 0.000
-0.850 0.000 5.969
Ir Se
2 2
Direct
0.230 0.250 0.468
0.770 0.750 0.532
0.328 0.750 0.221
0.672 0.250 0.779
```


6.
The following is a DFT calculation (GGA-PBE) of a relaxed IrSe crystal.

Cell and atoms, written as POSCAR:
```
IrSe
1.0
6.843 0.000 0.000
0.000 6.843 0.000
0.000 0.000 6.843
Ir Se
6 6
Direct
0.000 0.250 0.500
0.000 0.750 0.500
0.250 0.500 0.000
0.500 0.000 0.250
0.500 0.000 0.750
0.750 0.500 0.000
0.000 0.500 0.250
0.000 0.500 0.750
0.250 0.000 0.500
0.500 0.250 0.000
0.500 0.750 0.000
0.750 0.000 0.500
```


7.
The following is a DFT calculation (GGA-PBE) of a relaxed Ir3Se5 crystal.

Cell and atoms, written as POSCAR:
```
Ir3Se5
1.0
7.983 0.000 0.000
-3.991 6.913 0.000
0.000 0.000 5.226
Ir Se
6 10
Direct
0.000 0.395 0.250
0.000 0.605 0.750
0.395 0.000 0.250
0.395 0.395 0.750
0.605 0.000 0.750
0.605 0.605 0.250
0.000 0.277 0.750
0.000 0.723 0.250
0.277 0.000 0.750
0.277 0.277 0.250
0.333 0.667 0.000
0.333 0.667 0.500
0.667 0.333 0.000
0.667 0.333 0.500
0.723 0.000 0.250
0.723 0.723 0.750
```


8.
The following is a DFT calculation (GGA-PBE) of a relaxed IrSe crystal.

Cell and atoms, written as POSCAR:
```
IrSe
1.0
5.571 0.000 0.000
0.000 5.571 0.000
0.000 0.000 5.571
Ir Se
4 4
Direct
0.000 0.000 0.000
0.000 0.500 0.500
0.500 0.000 0.500
0.500 0.500 0.000
0.250 0.250 0.750
0.250 0.750 0.250
0.750 0.250 0.250
0.750 0.750 0.750
```


9.
The following is a DFT calculation (GGA-PBE) of a relaxed Ir2Se3 crystal.

Cell and atoms, written as POSCAR:
```
Ir2Se3
1.0
0.000 6.137 3.107
5.122 0.000 3.107
5.122 6.137 0.000
Ir Se
4 6
Direct
0.081 0.919 0.157
0.093 0.407 0.169
0.407 0.093 0.331
0.919 0.081 0.843
0.231 0.500 0.361
0.343 0.889 0.750
0.500 0.231 0.907
0.675 0.675 0.325
0.889 0.343 0.019
0.925 0.925 0.575
```


10.
The following is a DFT calculation (GGA-PBE) of a relaxed IrSe crystal.

Cell and atoms, written as POSCAR:
```
IrSe
1.0
10.093 0.000 0.000
0.000 10.093 0.000
0.000 0.000 3.895
Ir Se
8 8
Direct
0.162 0.287 0.000
0.213 0.662 0.500
0.287 0.838 0.000
0.338 0.213 0.500
0.662 0.787 0.500
0.713 0.162 0.000
0.787 0.338 0.500
0.838 0.713 0.000
0.076 0.708 0.000
0.208 0.424 0.500
0.292 0.076 0.000
0.424 0.792 0.500
0.576 0.208 0.500
0.708 0.924 0.000
0.792 0.576 0.500
0.924 0.292 0.000
```


11.
The following is a DFT calculation (GGA-PBE) of a relaxed IrSe crystal.

Cell and atoms, written as POSCAR:
```
IrSe
1.0
0.000 3.925 6.078
3.819 0.000 6.078
3.819 3.925 0.000
Ir Se
4 4
Direct
0.011 0.011 0.239
0.239 0.239 0.011
0.761 0.761 0.989
0.989 0.989 0.761
0.130 0.620 0.130
0.380 0.870 0.380
0.620 0.130 0.620
0.870 0.380 0.870
```


12.
The following is a DFT calculation (GGA-PBE) of a relaxed IrSe crystal.

Cell and atoms, written as POSCAR:
```
IrSe
1.0
2.906 0.000 0.000
0.000 4.638 0.000
0.000 0.000 9.836
Ir Se
4 4
Direct
0.000 0.250 0.129
0.000 0.750 0.871
0.500 0.250 0.371
0.500 0.750 0.629
0.000 0.250 0.601
0.000 0.750 0.399
0.500 0.250 0.899
0.500 0.750 0.101
```


One value per record, in order, for total moment: 0.000 0.000 0.000 0.000 0.000 0.000 0.000 0.000 0.000 0.000 0.000 0.000 μB/cell.
One value per record, in order, for formation energy (no corrections): 0.117 0.369 0.275 0.277 0.055 0.450 0.407 0.271 0.040 0.187 0.162 0.478 eV per atom.